Entry from Alexandria: CsGdMo2O8 after structural relaxation (GGA+U).

DFT total energy: -189.4 eV for the cell shown
crystal system: monoclinic

Unit cell a=9.825 b=5.130 c=8.272 alpha=90.00 beta=92.85 gamma=90.00
Space group P2/c (No. 13)
Inequivalent atoms, fractional coordinates:
Cs1 0.000 0.060 0.250 x2
Gd1 0.500 0.001 0.750 x2
Mo1 0.306 0.478 0.488 x4
O1 0.141 0.389 0.977 x4
O2 0.316 0.259 0.317 x4
O3 0.317 0.266 0.663 x4
O4 0.432 0.250 0.996 x4